VASP calculation (GGA-PBE) on a relaxed TaSiMo crystal.

Values from the calculation:
magnetization = 0.00 Bohr magnetons per cell
SG = Fmm2, No. 42
raw formation energy = -17.5 kJ/mol of atoms
total energy = -0.70196 Ry/atom

Lattice parameters (Å, degrees): 6.5500 6.3606 2.8402 81.05 73.59 25.36
Fractional coordinates of all 3 atoms:
Mo (0.9901, 0.9901, 0.0099)
Ta (0.6741, 0.6741, 0.3259)
Si (0.3358, 0.3358, 0.6642)


VASP calculation (GGA-PBE) on a relaxed ThTaSi2Mo crystal.

Values from the calculation:
magnetization = 0.00 Bohr magnetons per cell
SG = I-4m2, No. 119
raw formation energy = -55.2 kJ/mol of atoms
total energy = -0.64399 Ry/atom

Lattice parameters (Å, degrees): 4.0685 4.0685 6.4137 108.49 108.49 90.00
Fractional coordinates of all 5 atoms:
Si (0.6072, 0.6072, 0.2144)
Si (0.3928, 0.3928, 0.7856)
Ta (0.2500, 0.7500, 0.5000)
Th (0.0000, 0.0000, 0.0000)
Mo (0.7500, 0.2500, 0.5000)


VASP calculation (GGA-PBE) on a relaxed Ta2TiSiMo crystal.

Values from the calculation:
magnetization = 0.00 Bohr magnetons per cell
SG = P4/mmm, No. 123
raw formation energy = 69.8 kJ/mol of atoms
total energy = -0.65027 Ry/atom

Lattice parameters (Å, degrees): 4.6742 4.4464 4.6742 90.00 90.00 90.00
Fractional coordinates of all 5 atoms:
Si (0.0000, 0.0000, 0.0000)
Ta (0.0000, 0.0000, 0.5000)
Ta (0.5000, 0.0000, 0.0000)
Ti (0.5000, 0.5000, 0.5000)
Mo (0.0000, 0.5000, 0.0000)


Number 1: Fermi-level density of states 1.7 states/eV/f.u.. Number 2: Fermi-level density of states 3.4 states/eV/f.u.. Number 3: Fermi-level density of states 4.6 states/eV/f.u..